Entry 1:
DFT (PBE) results for an optimized crystal structure of Na2Tl2AuO6.

Results
As for the final energy: -4.392 eV per atom.

a b c (Å): 5.841 10.152 5.858
angles (deg): 90.00 107.21 90.00
Space group C2/m (No. 12)
One atom of each set of equivalent atoms:
Na 0.000 0.160 0.000 (multiplicity 4)
Tl 0.000 0.334 0.500 (multiplicity 4)
Au 0.000 0.000 0.500 (multiplicity 2)
O 0.219 0.162 0.711 (multiplicity 8)
O 0.232 0.000 0.301 (multiplicity 4)

***

Entry 2:
DFT (PBE) results for an optimized crystal structure of ScCr2Au.

Results
As for the final energy: -7.004 eV per atom. The calculation puts the formation energy from the elements at 210 meV/atom.

a b c (Å): 6.516 6.516 6.516
angles (deg): 90.00 90.00 90.00
Space group Fm-3m (No. 225)
One atom of each set of equivalent atoms:
Sc 0.000 0.000 0.000 (multiplicity 4)
Cr 0.250 0.250 0.250 (multiplicity 8)
Au 0.000 0.000 0.500 (multiplicity 4)

***

Entry 3:
DFT (PBE) results for an optimized crystal structure of Sn2SbRu2.

Results
As for the final energy: -6.119 eV per atom.

a b c (Å): 7.882 7.882 3.203
angles (deg): 90.00 90.00 90.00
Space group P4/mbm (No. 127)
One atom of each set of equivalent atoms:
Sn 0.144 0.356 0.000 (multiplicity 4)
Sb 0.000 0.000 0.500 (multiplicity 2)
Ru 0.152 0.652 0.500 (multiplicity 4)

***

Entry 4:
DFT (PBE) results for an optimized crystal structure of AcThPt2.

Results
As for the final energy: -7.025 eV per atom. The calculation puts the formation energy from the elements at -1123 meV/atom.

a b c (Å): 4.2081 4.2081 22.1402
angles (deg): 90.00 90.00 120.00
Space group R3m (No. 160, hexagonal axes)
One atom of each set of equivalent atoms:
Ac 0.0000 0.0000 0.0000 (multiplicity 3)
Th 0.0000 0.0000 0.1718 (multiplicity 3)
Pt 0.0000 0.0000 0.5796 (multiplicity 3)
Pt 0.0000 0.0000 0.7606 (multiplicity 3)

***

Entry 5:
DFT (PBE) results for an optimized crystal structure of Tb6DyYHo2.

Results
As for the final energy: -4.683 eV per atom. The calculation puts the formation energy from the elements at 117 meV/atom.

a b c (Å): 9.035 15.085 9.550
angles (deg): 90.00 97.51 90.00
Space group C2/c (No. 15)
One atom of each set of equivalent atoms:
Tb 0.062 0.186 0.445 (multiplicity 8)
Tb 0.104 0.394 0.620 (multiplicity 8)
Tb 0.206 0.225 0.815 (multiplicity 8)
Dy 0.000 0.409 0.250 (multiplicity 4)
Y 0.000 0.023 0.750 (multiplicity 4)
Ho 0.250 0.053 0.044 (multiplicity 8)

***

Entry 6:
DFT (PBE) results for an optimized crystal structure of AcCu2Pd.

Results
As for the final energy: -4.692 eV per atom. The calculation puts the formation energy from the elements at -318 meV/atom.

a b c (Å): 4.3956 4.3956 15.1731
angles (deg): 90.00 90.00 120.00
Space group R-3m (No. 166, hexagonal axes)
One atom of each set of equivalent atoms:
Ac 0.0000 0.0000 0.0000 (multiplicity 3)
Cu 0.0000 0.0000 0.2003 (multiplicity 6)
Pd 0.0000 0.0000 0.5000 (multiplicity 3)

***

Entry 7:
DFT (PBE) results for an optimized crystal structure of K2AcSbTe4.

Results
As for the final energy: -3.863 eV per atom.

a b c (Å): 8.150 4.694 8.706
angles (deg): 90.00 108.15 90.00
Space group P2/m (No. 10)
One atom of each set of equivalent atoms:
K 0.000 0.000 0.000 (multiplicity 1)
K 0.500 0.500 0.000 (multiplicity 1)
Ac 0.000 0.500 0.500 (multiplicity 1)
Sb 0.500 0.000 0.500 (multiplicity 1)
Te 0.256 0.000 0.718 (multiplicity 2)
Te 0.280 0.500 0.291 (multiplicity 2)

***

Entry 8:
DFT (PBE) results for an optimized crystal structure of HfTlFe2Te.

Results
As for the final energy: -4.947 eV per atom.

a b c (Å): 4.820 4.820 5.698
angles (deg): 90.00 90.00 90.00
Space group P4/mmm (No. 123)
One atom of each set of equivalent atoms:
Hf 0.000 0.000 0.000 (multiplicity 1)
Tl 0.500 0.500 0.500 (multiplicity 1)
Fe 0.000 0.500 0.500 (multiplicity 2)
Te 0.500 0.500 0.000 (multiplicity 1)